[1]
A relaxed Cs3Th3PbSe8 crystal. Source: the Alexandria database, functional PBE.

Results
- Space-group type: R-3m, No. 166
- E_form (uncorrected): -1469 meV per atom

Cell: 8.746 8.745 9.837 Å, 116.41 90.00 120.00°
Fractional coordinates of all 15 atoms:
Se 0.270 0.540 0.310
Se 0.761 0.522 0.310
Se 0.288 0.049 0.310
Se 0.239 0.478 0.690
Se 0.239 0.951 0.690
Se 0.761 0.049 0.310
Se 0.712 0.951 0.690
Se 0.730 0.460 0.690
Pb 0.000 0.000 0.500
Cs 0.000 0.000 0.000
Cs 0.500 0.500 0.000
Cs 0.000 0.500 0.000
Th 0.500 0.500 0.500
Th 0.000 0.500 0.500
Th 0.500 0.000 0.500

[2]
A relaxed CsTlPbSe3 crystal. Source: the Alexandria database, functional PBE.

Results
- Space-group type: P2_1/m, No. 11
- E_form (uncorrected): -575 meV per atom

Cell: 4.607 9.461 10.791 Å, 108.62 90.00 90.00°
Fractional coordinates of all 12 atoms:
Cs 0.250 0.249 0.254
Cs 0.750 0.751 0.746
Se 0.750 0.923 0.121
Se 0.750 0.499 0.172
Se 0.250 0.077 0.879
Se 0.750 0.193 0.544
Se 0.250 0.807 0.456
Se 0.250 0.501 0.828
Pb 0.250 0.668 0.100
Pb 0.750 0.332 0.900
Tl 0.250 0.101 0.644
Tl 0.750 0.899 0.356